[1]
{
  "formula": "LiRu2Pt",
  "functional": "PBE-GGA",
  "state": "optimized geometry",
  "de_polymorph_mev_per_atom": 354,
  "energy_ev_per_atom": -6.314,
  "formation_enthalpy_0k_ev_per_atom": 0.312,
  "magnetic_moment_mub_per_atom": 0.036,
  "lattice_angstrom": [[2.671, -0.013, 0.000], [-1.263, 2.353, 0.000], [0.000, 0.000, 9.313]],
  "species": ["Pt", "Ru", "Li", "Ru"],
  "frac_coords": [[0.500, 0.500, 0.750], [0.000, 0.000, 0.004], [0.500, 0.500, 0.250], [0.000, 0.000, 0.496]]
}

[2]
{
  "formula": "LiRuPt2",
  "functional": "PBE-GGA",
  "state": "optimized geometry",
  "de_polymorph_mev_per_atom": 318,
  "energy_ev_per_atom": -5.790,
  "formation_enthalpy_0k_ev_per_atom": 0.027,
  "magnetic_moment_mub_per_atom": 0.307,
  "lattice_angstrom": [[-0.648, -1.271, 4.107], [-0.284, -4.234, 0.946], [3.199, -1.955, 2.201]],
  "species": ["Pt", "Ru", "Pt", "Li"],
  "frac_coords": [[0.250, 0.250, 0.250], [0.750, 0.750, 0.750], [0.000, 0.000, 0.000], [0.500, 0.500, 0.500]]
}

[3]
{
  "formula": "LiRuPt2",
  "functional": "PBE-GGA",
  "state": "optimized geometry",
  "de_polymorph_mev_per_atom": 81,
  "energy_ev_per_atom": -6.027,
  "formation_enthalpy_0k_ev_per_atom": -0.209,
  "magnetic_moment_mub_per_atom": 0.000,
  "lattice_angstrom": [[-3.677, 8.237, -1.452], [-5.981, 6.807, -1.169], [-4.695, 7.770, 1.034]],
  "species": ["Pt", "Ru", "Pt", "Li"],
  "frac_coords": [[0.498, 0.498, 0.498], [0.250, 0.250, 0.250], [0.002, 0.002, 0.002], [0.750, 0.750, 0.750]]
}

[4]
{
  "formula": "Li2RuPt",
  "functional": "PBE-GGA",
  "state": "optimized geometry",
  "de_polymorph_mev_per_atom": 167,
  "energy_ev_per_atom": -4.840,
  "formation_enthalpy_0k_ev_per_atom": -0.054,
  "magnetic_moment_mub_per_atom": 0.000,
  "lattice_angstrom": [[2.737, 0.000, 0.000], [0.000, 2.737, 0.000], [0.000, 0.000, 7.775]],
  "species": ["Li", "Pt", "Ru", "Li"],
  "frac_coords": [[0.500, 0.500, 0.270], [0.000, 0.000, 0.499], [0.500, 0.500, 0.746], [0.000, 0.000, 0.985]]
}

[5]
{
  "formula": "LiRu2Pt",
  "functional": "PBE-GGA",
  "state": "optimized geometry",
  "de_polymorph_mev_per_atom": 660,
  "energy_ev_per_atom": -6.008,
  "formation_enthalpy_0k_ev_per_atom": 0.618,
  "magnetic_moment_mub_per_atom": 0.000,
  "lattice_angstrom": [[6.947, 0.000, 0.000], [0.000, 6.947, 0.000], [3.473, 3.473, 2.460]],
  "species": ["Ru", "Pt", "Ru", "Pt", "Ru", "Li", "Ru", "Li"],
  "frac_coords": [[0.613, 0.125, 0.250], [0.000, 0.000, 0.000], [0.875, 0.863, 0.750], [0.750, 0.250, 0.500], [0.375, 0.387, 0.750], [0.250, 0.750, 0.500], [0.137, 0.625, 0.250], [0.500, 0.500, 0.000]]
}

[6]
{
  "formula": "Li2RuPt",
  "functional": "PBE-GGA",
  "state": "optimized geometry",
  "de_polymorph_mev_per_atom": 31,
  "energy_ev_per_atom": -4.976,
  "formation_enthalpy_0k_ev_per_atom": -0.189,
  "magnetic_moment_mub_per_atom": 0.000,
  "lattice_angstrom": [[2.660, -0.009, 0.000], [-1.230, 2.358, 0.000], [0.000, 0.000, 8.890]],
  "species": ["Li", "Ru", "Li", "Pt"],
  "frac_coords": [[0.000, 0.000, 0.498], [0.500, 0.500, 0.750], [0.000, 0.000, 0.002], [0.500, 0.500, 0.250]]
}